[1]
Below is a crystal of Cs2LiCeCl6 relaxed with PBEsol, with properties calculated at the SCAN level.

As for the energy relative to the elements, uncorrected: -2.3317 eV/atom.

Cell: 7.4554 7.4554 7.4554 Å, 60.00 60.00 60.00°
Closest atoms and distances in Å follow each position.
Sites, in units of the cell vectors:
Cs (0.7500, 0.7500, 0.7500)  12 Cl 3.73
Cs (0.2500, 0.2500, 0.2500)  12 Cl 3.73
Li (0.5000, 0.5000, 0.5000)  6 Cl 2.56
Ce (0.0000, 0.0000, 0.0000)  6 Cl 2.72
Cl (0.7424, 0.2576, 0.2576)  1 Li 2.56, 1 Ce 2.72
Cl (0.7424, 0.7424, 0.2576)  1 Li 2.56, 1 Ce 2.72
Cl (0.2576, 0.7424, 0.7424)  1 Li 2.56, 1 Ce 2.72
Cl (0.7424, 0.2576, 0.7424)  1 Li 2.56, 1 Ce 2.72
Cl (0.2576, 0.7424, 0.2576)  1 Li 2.56, 1 Ce 2.72
Cl (0.2576, 0.2576, 0.7424)  1 Li 2.56, 1 Ce 2.72

[2]
Below is a crystal of Sn3PdI relaxed with PBEsol, with properties calculated at the SCAN level.

As for the energy relative to the elements, uncorrected: 1.3454 eV/atom.

Cell: 5.6675 5.6675 5.6675 Å, 90.00 90.00 90.00°
Closest atoms and distances in Å follow each position.
Sites, in units of the cell vectors:
I (0.0000, 0.0000, 0.0000)  6 Sn 2.83
Sn (0.0000, 0.5000, 0.0000)  2 I 2.83
Sn (0.0000, 0.0000, 0.5000)  2 I 2.83
Sn (0.5000, 0.0000, 0.0000)  2 I 2.83
Pd (0.5000, 0.5000, 0.5000)  12 Sn 4.01

[3]
Below is a crystal of LiTm2Pt relaxed with PBEsol, with properties calculated at the SCAN level.

The energy of formation from the pure elements is -0.880 eV per atom.

Cell: 4.8364 4.8364 4.8364 Å, 60.00 60.00 60.00°
Closest atoms and distances in Å follow each position.
Sites, in units of the cell vectors:
Tm (0.7500, 0.7500, 0.7500)  4 Li 2.96, 4 Pt 2.96
Tm (0.2500, 0.2500, 0.2500)  4 Pt 2.96, 4 Li 2.96
Pt (0.5000, 0.5000, 0.5000)  8 Tm 2.96
Li (0.0000, 0.0000, 0.0000)  8 Tm 2.96

[4]
Below is a crystal of RbGa3Re relaxed with PBEsol, with properties calculated at the SCAN level.

The energy of formation from the pure elements is -0.132 eV per atom.

Cell: 4.8950 4.8950 4.8950 Å, 90.00 90.00 90.00°
Closest atoms and distances in Å follow each position.
Sites, in units of the cell vectors:
Re (0.0000, 0.0000, 0.0000)  6 Ga 2.45
Ga (0.0000, 0.5000, 0.0000)  2 Re 2.45
Ga (0.0000, 0.0000, 0.5000)  2 Re 2.45
Ga (0.5000, 0.0000, 0.0000)  2 Re 2.45
Rb (0.5000, 0.5000, 0.5000)  12 Ga 3.46

[5]
Below is a crystal of CrPtAu relaxed with PBEsol, with properties calculated at the SCAN level.

The energy of formation from the pure elements is 0.247 eV per atom.

Cell: 4.2867 4.2867 4.2867 Å, 60.00 60.00 60.00°
Closest atoms and distances in Å follow each position.
Sites, in units of the cell vectors:
Au (0.2500, 0.2500, 0.2500)  4 Pt 2.63, 4 Cr 2.63
Cr (0.0000, 0.0000, 0.0000)  4 Au 2.63
Pt (0.5000, 0.5000, 0.5000)  4 Au 2.63

[6]
Below is a crystal of K3CeAs2O8 relaxed with PBEsol, with properties calculated at the SCAN level.

As for the energy relative to the elements, uncorrected: -2.2062 eV/atom.

Cell: 5.9023 7.5861 9.8978 Å, 91.42 90.00 90.00°
Closest atoms and distances in Å follow each position.
Sites, in units of the cell vectors:
K (0.2500, 0.8633, 0.5886)  1 O 2.56
K (0.7500, 0.1367, 0.4114)  1 O 2.56
K (0.2500, 0.3058, 0.9146)  5 O 2.60-2.90
K (0.7500, 0.6942, 0.0854)  5 O 2.60-2.90
K (0.2500, 0.0084, 0.1934)  4 O 2.63-2.91
K (0.7500, 0.9916, 0.8066)  4 O 2.63-2.91
Ce (0.2500, 0.5097, 0.2876)  6 O 2.32-2.50
Ce (0.7500, 0.4903, 0.7124)  6 O 2.32-2.50
As (0.2500, 0.3095, 0.5721)  4 O 1.71-1.72
As (0.7500, 0.6905, 0.4279)  4 O 1.71-1.72
As (0.2500, 0.7421, 0.9149)  4 O 1.69-1.72
As (0.7500, 0.2579, 0.0851)  4 O 1.69-1.72
O (0.2500, 0.6838, 0.0813)  1 As 1.72
O (0.7500, 0.3162, 0.9187)  1 As 1.72
O (0.0144, 0.2510, 0.6627)  1 As 1.72
O (0.9856, 0.7490, 0.3373)  1 As 1.72
O (0.5144, 0.7490, 0.3373)  1 As 1.72
O (0.4856, 0.2510, 0.6627)  1 As 1.72
O (0.2500, 0.2078, 0.4152)  1 As 1.72
O (0.7500, 0.7922, 0.5848)  1 As 1.72
O (0.2500, 0.9629, 0.8954)  1 As 1.69
O (0.7500, 0.0371, 0.1046)  1 As 1.69
O (0.0128, 0.6517, 0.8391)  1 As 1.72
O (0.9872, 0.3483, 0.1609)  1 As 1.72
O (0.5128, 0.3483, 0.1609)  1 As 1.72
O (0.4872, 0.6517, 0.8391)  1 As 1.72
O (0.2500, 0.5301, 0.5405)  1 As 1.71
O (0.7500, 0.4699, 0.4595)  1 As 1.71

[7]
Below is a crystal of BaBr2 relaxed with PBEsol, with properties calculated at the SCAN level.

As for the energy relative to the elements, uncorrected: -2.3353 eV/atom.

Cell: 6.5277 6.5277 6.5277 Å, 102.93 112.84 112.84°
Closest atoms and distances in Å follow each position.
Sites, in units of the cell vectors:
Ba (0.0000, 0.2500, 0.2500)  8 Br 3.32
Ba (0.0000, 0.7500, 0.7500)  8 Br 3.32
Br (0.5000, 0.8075, 0.6925)  4 Ba 3.32, 4 Br 3.70
Br (0.5000, 0.1925, 0.3075)  4 Ba 3.32, 4 Br 3.70
Br (0.1150, 0.3075, 0.8075)  4 Ba 3.32, 4 Br 3.70
Br (0.8850, 0.6925, 0.1925)  4 Ba 3.32, 4 Br 3.70

[8]
Below is a crystal of Mg2ScCu relaxed with PBEsol, with properties calculated at the SCAN level.

The energy of formation from the pure elements is -0.085 eV per atom.

Cell: 3.1144 4.8238 5.8079 Å, 114.54 105.55 90.00°
Closest atoms and distances in Å follow each position.
Sites, in units of the cell vectors:
Sc (0.5000, 0.0000, 0.0000)  4 Cu 2.87, 2 Sc 3.11
Mg (0.7119, 0.7119, 0.4238)  2 Cu 2.65
Mg (0.2881, 0.2881, 0.5762)  2 Cu 2.65
Cu (0.0000, 0.5000, 0.0000)  4 Mg 2.65, 4 Sc 2.87

[9]
Below is a crystal of MnTe2Au relaxed with PBEsol, with properties calculated at the SCAN level.

As for the energy relative to the elements, uncorrected: -0.2499 eV/atom.

Cell: 3.7558 3.7558 6.7801 Å, 90.00 90.00 90.00°
Closest atoms and distances in Å follow each position.
Sites, in units of the cell vectors:
Au (0.0000, 0.0000, 0.4969)  5 Te 2.74-2.83
Mn (0.5000, 0.5000, 0.7482)  5 Te 2.68-2.85
Te (0.0000, 0.0000, 0.9015)  1 Au 2.74, 4 Mn 2.85
Te (0.5000, 0.5000, 0.3533)  1 Mn 2.68, 4 Au 2.83

[10]
Below is a crystal of LaZrTa2 relaxed with PBEsol, with properties calculated at the SCAN level.

The energy of formation from the pure elements is 0.446 eV per atom.

Cell: 2.9065 2.9065 10.0800 Å, 90.00 90.00 90.00°
Closest atoms and distances in Å follow each position.
Sites, in units of the cell vectors:
La (0.5000, 0.5000, 0.5000)  4 La 2.91
Ta (0.0000, 0.0000, 0.7680)  4 Ta 2.91, 4 Zr 3.11
Ta (0.0000, 0.0000, 0.2320)  4 Ta 2.91, 4 Zr 3.11
Zr (0.5000, 0.5000, 0.0000)  4 Zr 2.91, 8 Ta 3.11

[11]
Below is a crystal of AlInAs relaxed with PBEsol, with properties calculated at the SCAN level.

The energy of formation from the pure elements is 0.122 eV per atom.

Cell: 3.3014 3.3014 6.0901 Å, 105.73 105.73 90.00°
Closest atoms and distances in Å follow each position.
Sites, in units of the cell vectors:
As (0.3609, 0.3609, 0.7217)  4 Al 2.67
Al (0.9762, 0.9762, 0.9523)  4 As 2.67
In (0.6630, 0.6630, 0.3259)  4 Al 3.14, 5 As 3.23-3.40, 4 In 3.30

[12]
Below is a crystal of SnAuSeN2 relaxed with PBEsol, with properties calculated at the SCAN level.

As for the energy relative to the elements, uncorrected: 1.3870 eV/atom.

Cell: 4.1084 4.1084 5.3007 Å, 90.00 90.00 90.00°
Closest atoms and distances in Å follow each position.
Sites, in units of the cell vectors:
Au (0.0000, 0.0000, 0.0000)  4 N 2.05
Sn (0.5000, 0.5000, 0.5000)  4 Se 2.91
Se (0.0000, 0.0000, 0.5000)  2 Au 2.65, 4 Sn 2.91
N (0.0000, 0.5000, 0.0000)  2 Au 2.05
N (0.5000, 0.0000, 0.0000)  2 Au 2.05

Number 1: calculated total energy -193.76 eV/cell, total moment 1.00 μB/f.u.. Number 2: calculated total energy -170.55 eV/cell, total moment 0.00 μB/f.u.. Number 3: calculated total energy -179.77 eV/cell, total moment 0.02 μB/f.u.. Number 4: calculated total energy -141.54 eV/cell, total moment 0.00 μB/f.u.. Number 5: calculated total energy -156.99 eV/cell, total moment 3.89 μB/f.u.. Number 6: calculated total energy -381.34 eV/cell, total moment 1.00 μB/f.u.. Number 7: calculated total energy -170.95 eV/cell, total moment 0.00 μB/f.u.. Number 8: calculated total energy -39.73 eV/cell, total moment 0.09 μB/f.u.. Number 9: calculated total energy -162.91 eV/cell, total moment 4.40 μB/f.u.. Number 10: calculated total energy -205.19 eV/cell, total moment 0.00 μB/f.u.. Number 11: calculated total energy -60.96 eV/cell, total moment 0.00 μB/f.u.. Number 12: calculated total energy -136.80 eV/cell, total moment 3.01 μB/f.u..